The following is a DFT calculation (PBE) of crystalline BaIr2Cl at its relaxed geometry.

Cell: 5.297 5.297 8.300 Å, 71.39 71.39 90.00°
Fractional coordinates of all 8 atoms:
Ir  0.353  0.125  0.250
Ir  0.397  0.625  0.250
Ir  0.375  0.647  0.750
Ir  0.875  0.603  0.750
Ba  0.000  0.000  0.000
Ba  0.750  0.250  0.500
Cl  0.500  0.500  0.000
Cl  0.250  0.750  0.500

Calculated values
- Offset from the most stable computed form: 49.1 kJ per mole of atoms
- DOS at the Fermi energy: 2.11 states/eV/f.u.
- E_form (uncorrected): 0.183 eV per atom
- Space group: No. 122